# PBE+U ZrMnGeO6, relaxed
data_ZrMnGeO6
_chemical_formula_sum 'Zr2 Mn2 Ge2 O12'
_symmetry_space_group_name_H-M 'P 1'
_symmetry_Int_Tables_number 1
_cell_length_a 4.6506
_cell_length_b 4.6506
_cell_length_c 9.1415
_cell_angle_alpha 90.00
_cell_angle_beta 90.00
_cell_angle_gamma 90.00
loop_
_symmetry_equiv_pos_as_xyz
'x,y,z'
loop_
_atom_site_label
_atom_site_fract_x
_atom_site_fract_y
_atom_site_fract_z
_atom_site_occupancy
Mn1 0.5000 0.5000 0.4994 1
Mn2 0.0000 0.0000 0.9994 1
O1 0.2036 0.7964 0.8427 1
O2 0.2991 0.2991 0.9883 1
O3 0.6795 0.6795 0.6684 1
O4 0.7991 0.2009 0.4883 1
O5 0.2964 0.2964 0.3427 1
O6 0.7964 0.2036 0.8427 1
O7 0.2009 0.7991 0.4883 1
O8 0.7036 0.7036 0.3427 1
O9 0.8205 0.1795 0.1684 1
O10 0.1795 0.8205 0.1684 1
O11 0.3205 0.3205 0.6684 1
O12 0.7009 0.7009 0.9883 1
Zr1 0.0000 0.0000 0.6681 1
Zr2 0.5000 0.5000 0.1681 1
Ge1 0.0000 0.0000 0.3337 1
Ge2 0.5000 0.5000 0.8337 1
# Uncorrected energy = -136.8 eV per cell